This record from Alexandria via LeMat-Bulk describes YMn2Pd2 after structural relaxation. The functional is PBE.

Computed properties:
**Energy relative to the lowest polymorph listed for this composition**: 0 meV per atom
**ΔH_f (0 K)**: 4.9 kJ/mol of atoms
**Total energy**: -34.9 eV for the cell shown

Cell and atoms, written as POSCAR:
```
YMn2Pd2
1.0
-0.658 -2.832 -1.857
2.800 0.610 -1.921
4.908 -4.883 2.504
Mn Pd Y
2 2 1
Cartesian
2.661 -4.413 -0.621 Mn
4.389 -2.692 -0.653 Mn
5.165 -5.194 -0.317 Pd
1.885 -1.911 -0.957 Pd
0.000 0.000 0.000 Y
```